{"formula": "Pm2GeH", "functional": "GGA-PBE", "state": "optimized geometry", "space_group": "No. 225", "relative_energy_mev_per_atom": 241.1, "e_tot_ev_per_atom": -4.80, "lattice": [[0.000, 3.515, 3.515], [3.515, 0.000, 3.515], [3.515, 3.515, 0.000]], "species": ["Pm", "Pm", "Ge", "H"], "fractional_positions": [[0.250, 0.250, 0.250], [0.750, 0.750, 0.750], [0.000, 0.000, 0.000], [0.500, 0.500, 0.500]]}